## UTlIn2F8 (PBE-GGA)

Data for a relaxed UTlIn2F8 crystal. Values from VASP.

Cell and atoms, written as Quantum ESPRESSO input:
```
&SYSTEM
  ibrav = 0, nat = 12, ntyp = 4
/
ATOMIC_SPECIES
U 238.03 U.upf
Tl 204.38 Tl.upf
In 114.82 In.upf
F 19.00 F.upf
ATOMIC_POSITIONS crystal
U 0.000 0.000 0.000
Tl 0.250 0.750 0.500
In 0.500 0.500 0.000
In 0.750 0.250 0.500
F 0.104 0.107 0.419
F 0.104 0.685 0.997
F 0.315 0.312 0.419
F 0.315 0.896 0.003
F 0.688 0.107 0.003
F 0.688 0.685 0.581
F 0.893 0.312 0.997
F 0.893 0.896 0.581
CELL_PARAMETERS angstrom
-3.073 3.073 6.168
3.073 -3.073 6.168
3.073 3.073 -6.168
```

Values from the calculation:
Space group: I-4m2 (119)
E_tot, eV per cell: -65.7
Volume, Å³ per atom: 19.41
Formation energy (no corrections), eV/atom: -2.63